A plane-wave DFT calculation with PBE-GGA was carried out for crystalline Ac8Co4Pd at its relaxed geometry.

The space group is C2/m (No. 12) and the conventional cell measures 13.347, 8.568 and 9.938 Å, with angles of 90.00, 131.65 and 90.00 degrees. The distinct sites, in fractional coordinates, are Ac at (0.053, 0.237, 0.333), Ac at (0.193, 0.500, 0.173), Ac at (0.198, 0.000, 0.156), Co at (0.000, 0.249, 0.000), Co at (0.225, 0.500, 0.499) and Pd at (0.000, 0.500, 0.500).

As for the total DFT energy (no corrections): -5.237 eV/atom. The density of states at the Fermi level comes out at 23.2 states/eV/cell.

***

A plane-wave DFT calculation with PBE-GGA was carried out for crystalline AcCoPd at its relaxed geometry.

The space group is P4/mmm (No. 123) and the conventional cell measures 3.612, 3.612 and 9.887 Å, with angles of 90.00, 90.00 and 90.00 degrees. The distinct sites, in fractional coordinates, are Ac at (0.000, 0.000, 0.186), Co at (0.000, 0.000, 0.500), Co at (0.500, 0.500, 0.000) and Pd at (0.500, 0.500, 0.368).

As for the total DFT energy (no corrections): -5.439 eV/atom. The density of states at the Fermi level comes out at 7.1 states/eV/cell.

***

Asked for magnetic moment across the records above, the calculation gives 0.00 1.18 μB per formula unit in order.